VASP calculation (PBE) on a relaxed structure of TaTeNO.

Calculated values
- Energy above the most stable polymorph in this dataset: 34.20 kJ/mol of atoms
- Volume: 20.2 Å³ per atom

Cell: 4.1714 4.1714 9.2920 Å, 90.00 90.00 90.00°
Last column: nearest neighbours and their distance in Å.
Space group P4/nmm (No. 129, origin choice 2)
Inequivalent atoms, fractional coordinates:
Ta1 0.2500 0.2500 0.0548  1 N 1.73
Te1 0.2500 0.7500 0.5000  4 Te 2.95, 4 N 3.18
N1 0.2500 0.2500 0.2414  1 Ta 1.73
O1 0.2500 0.7500 0.0000  4 Ta 2.15

VASP calculation (PBE) on a relaxed structure of TaTeNO.

Calculated values
- Energy above the most stable polymorph in this dataset: 22.02 kJ/mol of atoms
- Volume: 16.4 Å³ per atom

Cell: 6.3704 7.0459 5.8507 Å, 90.00 90.00 90.00°
Last column: nearest neighbours and their distance in Å.
Space group Pca2_1 (No. 29)
Inequivalent atoms, fractional coordinates:
Ta1 0.1100 0.1566 0.0000  1 N 1.83
Te1 0.0160 0.3409 0.4459  1 N 2.02
N1 0.0316 0.6268 0.4201  1 Ta 1.83, 1 Te 2.02
O1 0.1049 0.0104 0.6870  2 Ta 2.10-2.11

VASP calculation (PBE) on a relaxed structure of TaTeNO.

Calculated values
- Energy above the most stable polymorph in this dataset: 3.14 kJ/mol of atoms
- Volume: 18.5 Å³ per atom

Cell: 3.6725 6.3024 6.3845 Å, 90.00 90.00 90.00°
Last column: nearest neighbours and their distance in Å.
Space group Pmc2_1 (No. 26)
Inequivalent atoms, fractional coordinates:
Ta1 0.0000 0.1683 0.0000  2 O 1.88-2.02, 2 N 2.02
Te1 0.5000 0.4752 0.3990  2 N 2.30-2.38
N1 0.5000 0.2321 0.1138  2 Ta 2.02
O1 0.0000 0.0510 0.7298  2 Ta 1.88-2.02